1.
CdMoAs2, optimized geometry, DFT PBE; E = -5.2913 eV per atom; density = 8.0 g/cm³; crystal system = monoclinic; space group = No. 10; ΔE_f = -0.030 eV per atom
1.0
3.246 0.000 0.000
0.000 3.248 0.000
-0.284 0.000 7.045
Cd Mo As
1 1 2
Direct
0.000 0.000 0.000
0.000 0.000 0.500
0.484 0.500 0.300
0.516 0.500 0.700



2.
Tb2Y4Tl, optimized geometry, DFT PBE; E = -5.3663 eV per atom; density = 6.7 g/cm³; crystal system = monoclinic; space group = No. 11; ΔE_f = -0.012 eV per atom
1.0
5.674 0.000 0.000
0.000 6.780 0.000
-2.632 0.000 11.368
Tb Y Tl
4 8 2
Direct
0.030 0.250 0.476
0.301 0.750 0.066
0.699 0.250 0.934
0.970 0.750 0.524
0.163 0.009 0.791
0.163 0.491 0.791
0.259 0.250 0.081
0.397 0.750 0.361
0.603 0.250 0.639
0.741 0.750 0.919
0.837 0.509 0.209
0.837 0.991 0.209
0.469 0.250 0.351
0.531 0.750 0.649



3.
Pt2BrCl2, optimized geometry, DFT PBE; E = -3.1243 eV per atom; uncorrected formation energy = 365.2 meV/atom; density = 8.8 g/cm³; crystal system = tetragonal; E above lowest polymorph = 233.5 meV per atom; space group = No. 139
1.0
-2.508 2.508 4.074
2.508 -2.508 4.074
2.508 2.508 -4.074
Pt Br Cl
2 1 2
Direct
0.182 0.182 0.000
0.818 0.818 0.000
0.500 0.500 0.000
0.250 0.750 0.500
0.750 0.250 0.500



4.
KHgW2, optimized geometry, DFT PBE; E = -5.4823 eV per atom; density = 12.2 g/cm³; crystal system = orthorhombic; space group = No. 47; ΔE_f = 1.344 eV per atom
1.0
2.760 0.000 0.000
0.000 5.219 0.000
0.000 0.000 5.735
K Hg W
1 1 2
Direct
0.000 0.000 0.000
0.500 0.500 0.000
0.000 0.500 0.500
0.500 0.000 0.500



5.
SbN2F5, optimized geometry, DFT PBE; E = -5.4315 eV per atom; uncorrected formation energy = -1665.3 meV/atom; density = 2.6 g/cm³; crystal system = monoclinic; E above lowest polymorph = 0.0 meV per atom; space group = No. 12
1.0
4.531 -4.592 0.000
4.531 4.592 0.000
-1.780 0.000 3.703
Sb N F
1 2 5
Direct
0.000 0.000 0.000
0.432 0.432 0.921
0.568 0.568 0.079
0.000 0.000 0.500
0.016 0.308 0.155
0.308 0.016 0.155
0.692 0.984 0.845
0.984 0.692 0.845



6.
Mg5Pa, optimized geometry, DFT PBE; E = -2.7101 eV per atom; density = 4.1 g/cm³; crystal system = orthorhombic; space group = No. 65; ΔE_f = 0.201 eV per atom
1.0
2.724 -8.324 0.000
2.724 8.324 0.000
0.000 0.000 3.165
Mg Pa
5 1
Direct
0.000 0.000 0.000
0.155 0.845 0.500
0.321 0.679 0.000
0.679 0.321 0.000
0.845 0.155 0.500
0.500 0.500 0.500



7.
MgAg6Sn, optimized geometry, DFT PBE; E = -2.8982 eV per atom; density = 8.8 g/cm³; crystal system = tetragonal; E above lowest polymorph = 0.0 meV per atom; space group = No. 123; ΔE_f = -0.060 eV per atom
1.0
5.849 0.000 0.000
0.000 5.849 0.000
0.000 0.000 4.367
Mg Ag Sn
1 6 1
Direct
0.000 0.000 0.000
0.000 0.500 0.000
0.245 0.245 0.500
0.245 0.755 0.500
0.500 0.000 0.000
0.755 0.245 0.500
0.755 0.755 0.500
0.500 0.500 0.000



8.
TmScTl, optimized geometry, DFT PBE; E = -4.6285 eV per atom; density = 8.9 g/cm³; crystal system = orthorhombic; E above lowest polymorph = 19.7 meV per atom; space group = No. 62; ΔE_f = -0.239 eV per atom
1.0
8.534 0.000 0.000
0.000 3.695 0.000
0.000 0.000 9.861
Tm Sc Tl
4 4 4
Direct
0.053 0.250 0.155
0.447 0.750 0.655
0.553 0.250 0.345
0.947 0.750 0.845
0.113 0.250 0.591
0.387 0.750 0.091
0.613 0.250 0.909
0.887 0.750 0.409
0.246 0.750 0.370
0.254 0.250 0.870
0.746 0.750 0.130
0.754 0.250 0.630



9.
PmHg4, optimized geometry, DFT PBE; E = -1.4271 eV per atom; density = 11.2 g/cm³; crystal system = orthorhombic; E above lowest polymorph = 50.3 meV per atom; space group = No. 55; ΔE_f = -0.236 eV per atom
1.0
5.596 0.000 0.000
0.000 9.434 0.000
0.000 0.000 5.300
Pm Hg
2 8
Direct
0.000 0.000 0.000
0.500 0.500 0.000
0.004 0.340 0.000
0.171 0.159 0.500
0.329 0.659 0.500
0.496 0.840 0.000
0.504 0.160 0.000
0.671 0.341 0.500
0.829 0.841 0.500
0.996 0.660 0.000